# HgRuPb4 | the Alexandria database | GGA-PBE | relaxed
data_HgRuPb4
_chemical_formula_sum 'Hg4 Ru4 Pb16'
_symmetry_space_group_name_H-M 'F -4 3 m'
_symmetry_Int_Tables_number 216
_symmetry_space_group_name_Hall 'F -4 2 3'
_cell_length_a 8.9161
_cell_length_b 8.9161
_cell_length_c 8.9161
_cell_angle_alpha 90.00
_cell_angle_beta 90.00
_cell_angle_gamma 90.00
loop_
_atom_site_label
_atom_site_fract_x
_atom_site_fract_y
_atom_site_fract_z
_atom_site_occupancy
Hg1 0.0000 0.0000 0.0000 1
Ru1 0.2500 0.2500 0.2500 1
Pb1 0.1244 0.1244 0.6244 1
# Calculated volume: 29.5 Å³ per atom
# Density of states at the Fermi level: 33.63 states/eV per cell
# Total energy: -3.27 eV/atom
# Calculated formation energy: 0.797 eV/atom